# 1
Computed, not measured: a relaxed TaCr2Cl crystal at the PBE level of DFT.

Summary:
Its formation energy from raw total energies is 633.6 meV/atom. For the energy above the most stable polymorph in this dataset, the calculation gives 544.9 meV/atom. The value obtained for the volume is 13.70 A^3/atom. As for the space-group type: C2/m, No. 12.

abc: 5.1265 5.1265 4.3728
angles: 64.86 64.86 32.11
Last column: nearest neighbours and their distance in Å.
Fractional coordinates of all 4 atoms:
Cr (0.9726, 0.9726, 0.0253)  2 Cl 2.43, 4 Cr 2.64-2.66
Cr (0.5274, 0.5274, 0.4747)  2 Cl 2.43, 4 Cr 2.64-2.66
Cl (0.2500, 0.2500, 0.2500)  4 Cr 2.43, 4 Ta 2.61
Ta (0.7500, 0.7500, 0.7500)  4 Cl 2.61, 4 Cr 2.83, 2 Ta 2.84



# 2
Computed, not measured: a relaxed BeSbMo crystal at the PBE level of DFT.

Summary:
Its formation energy from raw total energies is 612.5 meV/atom. For the energy above the most stable polymorph in this dataset, the calculation gives 448.6 meV/atom. The value obtained for the volume is 18.90 A^3/atom. As for the space-group type: Fmm2, No. 42.

abc: 7.0378 6.9444 2.9312
angles: 79.69 76.12 24.19
Last column: nearest neighbours and their distance in Å.
Fractional coordinates of all 3 atoms:
Sb (0.3095, 0.3095, 0.6905)  4 Mo 2.87-3.09, 4 Sb 2.93
Mo (0.6490, 0.6490, 0.3510)  4 Be 2.39-2.65
Be (0.0415, 0.0415, 0.9585)  4 Mo 2.39-2.65



# 3
Computed, not measured: a relaxed SmTeS crystal at the PBE level of DFT.

Summary:
Its formation energy from raw total energies is -1243.1 meV/atom. For the energy above the most stable polymorph in this dataset, the calculation gives 241.0 meV/atom. The value obtained for the volume is 26.01 A^3/atom. As for the space-group type: I4mm, No. 107.

abc: 3.7366 3.7366 6.1816
angles: 107.59 107.59 90.00
Last column: nearest neighbours and their distance in Å.
Fractional coordinates of all 3 atoms:
S (0.0406, 0.0406, 0.0812)  4 Sm 2.84
Te (0.3268, 0.3268, 0.6537)  5 S 3.20-3.56, 5 Sm 3.42
Sm (0.6326, 0.6326, 0.2652)  4 S 2.84



# 4
Computed, not measured: a relaxed BaHg6Pb2 crystal at the PBE level of DFT.

Summary:
For the energy above the most stable polymorph in this dataset, the calculation gives 0.0 meV/atom. The value obtained for the volume is 29.19 A^3/atom. As for the space-group type: P6/mmm, No. 191. The formation energy comes out at -14.4 kJ per mole of atoms.

abc: 3.7541 8.9895 8.9895
angles: 120.00 90.00 90.00
Last column: nearest neighbours and their distance in Å.
Fractional coordinates of all 9 atoms:
Ba (0.0000, 0.0000, 0.0000)  12 Hg 3.57, 2 Ba 3.75
Hg (0.5000, 0.3376, 0.3376)  3 Hg 2.92-3.04
Hg (0.5000, 0.6624, 0.6624)  3 Hg 2.92-3.04
Hg (0.5000, 0.0000, 0.6624)  3 Hg 2.92-3.04
Hg (0.5000, 0.6624, 0.0000)  3 Hg 2.92-3.04
Hg (0.5000, 0.3376, 0.0000)  3 Hg 2.92-3.04
Hg (0.5000, 0.0000, 0.3376)  3 Hg 2.92-3.04
Pb (0.0000, 0.3333, 0.6667)  12 Hg 3.52, 2 Pb 3.75
Pb (0.0000, 0.6667, 0.3333)  12 Hg 3.52, 2 Pb 3.75



# 5
Computed, not measured: a relaxed HgTe2PC crystal at the PBE level of DFT.

Summary:
Its formation energy from raw total energies is 1785.0 meV/atom. The value obtained for the volume is 26.27 A^3/atom. As for the space-group type: P4/mmm, No. 123.

abc: 5.7456 3.9794 5.7456
angles: 90.00 90.00 90.00
Last column: nearest neighbours and their distance in Å.
Fractional coordinates of all 5 atoms:
P (0.5000, 0.5000, 0.5000)  8 Te 3.49
C (0.0000, 0.5000, 0.0000)  2 Hg 1.99
Te (0.0000, 0.0000, 0.5000)  2 Hg 2.87
Te (0.5000, 0.0000, 0.0000)  2 Hg 2.87
Hg (0.0000, 0.0000, 0.0000)  2 C 1.99



# 6
Computed, not measured: a relaxed SrMn3Hg crystal at the PBE level of DFT.

Summary:
For the energy above the most stable polymorph in this dataset, the calculation gives 0.0 meV/atom. The value obtained for the volume is 27.28 A^3/atom. As for the space-group type: Pm-3m, No. 221. The formation energy comes out at 77.1 kJ per mole of atoms.

abc: 5.1475 5.1475 5.1475
angles: 90.00 90.00 90.00
Last column: nearest neighbours and their distance in Å.
Fractional coordinates of all 5 atoms:
Sr (0.5000, 0.5000, 0.5000)  12 Mn 3.64
Mn (0.0000, 0.5000, 0.0000)  2 Hg 2.57
Mn (0.0000, 0.0000, 0.5000)  2 Hg 2.57
Mn (0.5000, 0.0000, 0.0000)  2 Hg 2.57
Hg (0.0000, 0.0000, 0.0000)  6 Mn 2.57



# 7
Computed, not measured: a relaxed Lu2MgPb crystal at the PBE level of DFT.

Summary:
The value obtained for the volume is 26.16 A^3/atom. As for the space-group type: P4/mmm, No. 123. The formation energy comes out at -20.4 kJ per mole of atoms.

abc: 3.8818 3.8818 6.9437
angles: 90.00 90.00 90.00
Last column: nearest neighbours and their distance in Å.
Fractional coordinates of all 4 atoms:
Pb (0.5000, 0.5000, 0.0000)  8 Lu 3.26, 2 Mg 3.47
Mg (0.5000, 0.5000, 0.5000)  8 Lu 3.24, 2 Pb 3.47
Lu (0.0000, 0.0000, 0.7476)  4 Mg 3.24, 4 Pb 3.26, 2 Lu 3.44-3.51
Lu (0.0000, 0.0000, 0.2524)  4 Mg 3.24, 4 Pb 3.26, 2 Lu 3.44-3.51



# 8
Computed, not measured: a relaxed Na2Sr2PuO6 crystal at the PBE level of DFT.

Summary:
Its formation energy from raw total energies is -2437.8 meV/atom. The value obtained for the volume is 17.63 A^3/atom. As for the space-group type: C2/m, No. 12.

abc: 6.2176 6.2176 5.9475
angles: 97.52 97.52 119.15
Last column: nearest neighbours and their distance in Å.
Fractional coordinates of all 11 atoms:
Na (0.8572, 0.1428, 0.0000)  4 O 2.39-2.46
Na (0.1428, 0.8572, 0.0000)  4 O 2.39-2.46
Sr (0.3366, 0.6634, 0.5000)  6 O 2.49-2.57
Sr (0.6634, 0.3366, 0.5000)  6 O 2.49-2.57
Pu (0.0000, 0.0000, 0.5000)  6 O 2.06-2.11
O (0.7817, 0.7817, 0.7048)  1 Pu 2.06
O (0.0384, 0.3302, 0.6957)  1 Pu 2.11
O (0.2183, 0.2183, 0.2952)  1 Pu 2.06
O (0.3302, 0.0384, 0.6957)  1 Pu 2.11
O (0.9616, 0.6698, 0.3043)  1 Pu 2.11
O (0.6698, 0.9616, 0.3043)  1 Pu 2.11



# 9
Computed, not measured: a relaxed NbTc3H crystal at the PBE level of DFT.

Summary:
For the energy above the most stable polymorph in this dataset, the calculation gives 0.0 meV/atom. The value obtained for the volume is 12.78 A^3/atom. As for the space-group type: Pm-3m, No. 221.

abc: 3.9979 3.9979 3.9979
angles: 90.00 90.00 90.00
Last column: nearest neighbours and their distance in Å.
Fractional coordinates of all 5 atoms:
H (0.0000, 0.0000, 0.0000)  6 Tc 2.00
Nb (0.5000, 0.5000, 0.5000)  12 Tc 2.83
Tc (0.0000, 0.5000, 0.0000)  2 H 2.00
Tc (0.0000, 0.0000, 0.5000)  2 H 2.00
Tc (0.5000, 0.0000, 0.0000)  2 H 2.00



# 10
Computed, not measured: a relaxed La6Cd2Sn crystal at the PBE level of DFT.

Summary:
The value obtained for the volume is 33.24 A^3/atom. As for the space-group type: P2_1/c, No. 14. The formation energy comes out at -26.1 kJ per mole of atoms.

abc: 5.4354 10.4865 10.4971
angles: 90.00 90.04 90.00
Last column: nearest neighbours and their distance in Å.
Fractional coordinates of all 18 atoms:
La (0.0003, 0.0157, 0.1777)  3 Cd 3.33-3.56, 1 Sn 3.39
La (0.9994, 0.6782, 0.5178)  3 Cd 3.32-3.58, 1 Sn 3.38, 1 La 3.72
La (0.9998, 0.6233, 0.8782)  2 Sn 3.27, 2 Cd 3.49, 1 La 3.64
La (0.5002, 0.1233, 0.6218)  2 Sn 3.27, 2 Cd 3.49, 1 La 3.64
La (0.5006, 0.1782, 0.9822)  3 Cd 3.32-3.58, 1 Sn 3.38, 1 La 3.72
La (0.4997, 0.5157, 0.3223)  3 Cd 3.33-3.56, 1 Sn 3.39
La (0.9997, 0.9843, 0.8223)  3 Cd 3.33-3.56, 1 Sn 3.39
La (0.0006, 0.3218, 0.4822)  3 Cd 3.32-3.58, 1 Sn 3.38, 1 La 3.72
La (0.0002, 0.3767, 0.1218)  2 Sn 3.27, 2 Cd 3.49, 1 La 3.64
La (0.4998, 0.8767, 0.3782)  2 Sn 3.27, 2 Cd 3.49, 1 La 3.64
La (0.4994, 0.8218, 0.0178)  3 Cd 3.32-3.58, 1 Sn 3.38, 1 La 3.72
La (0.5003, 0.4843, 0.6777)  3 Cd 3.33-3.56, 1 Sn 3.39
Cd (0.0009, 0.3006, 0.7981)  8 La 3.32-3.58
Cd (0.4991, 0.8006, 0.7019)  8 La 3.32-3.58
Cd (0.5009, 0.1994, 0.2981)  8 La 3.32-3.58
Cd (0.9991, 0.6994, 0.2019)  8 La 3.32-3.58
Sn (0.5000, 0.5000, 0.0000)  8 La 3.27-3.39
Sn (0.0000, 0.0000, 0.5000)  8 La 3.27-3.39



# 11
Computed, not measured: a relaxed NaLiN crystal at the PBE level of DFT.

Summary:
Its formation energy from raw total energies is -57.5 meV/atom. For the energy above the most stable polymorph in this dataset, the calculation gives 37.2 meV/atom. The value obtained for the volume is 19.57 A^3/atom. As for the space-group type: C2/m, No. 12.

abc: 3.2556 3.2556 12.8687
angles: 84.01 84.01 60.13
Last column: nearest neighbours and their distance in Å.
Fractional coordinates of all 6 atoms:
Na (0.2823, 0.2823, 0.6249)  6 Na 3.26, 2 Li 3.60
Na (0.7177, 0.7177, 0.3751)  6 Na 3.26, 2 Li 3.60
Li (0.8713, 0.8713, 0.8669)  3 N 2.17-2.19
Li (0.1287, 0.1287, 0.1331)  3 N 2.17-2.19
N (0.4881, 0.4881, 0.0471)  1 N 1.20
N (0.5119, 0.5119, 0.9529)  1 N 1.20



# 12
Computed, not measured: a relaxed Na3Ag5Cl8 crystal at the PBE level of DFT.

Summary:
Its formation energy from raw total energies is -935.7 meV/atom. The value obtained for the volume is 22.37 A^3/atom. As for the space-group type: R-3m, No. 166.

abc: 8.0119 8.0119 7.9271
angles: 59.65 59.65 60.00
Last column: nearest neighbours and their distance in Å.
Fractional coordinates of all 16 atoms:
Na (0.5000, 0.0000, 0.5000)  6 Cl 2.82-2.83
Na (0.0000, 0.0000, 0.5000)  6 Cl 2.82-2.83
Na (0.0000, 0.5000, 0.5000)  6 Cl 2.82-2.83
Ag (0.5000, 0.0000, 0.0000)  6 Cl 2.80-2.81
Ag (0.5000, 0.5000, 0.0000)  6 Cl 2.80-2.81
Ag (0.0000, 0.0000, 0.0000)  6 Cl 2.82
Ag (0.0000, 0.5000, 0.0000)  6 Cl 2.80-2.81
Ag (0.5000, 0.5000, 0.5000)  6 Cl 2.82
Cl (0.2499, 0.2499, 0.7527)  4 Ag 2.80-2.82, 2 Na 2.83
Cl (0.2499, 0.7476, 0.7527)  4 Ag 2.80-2.82, 2 Na 2.83
Cl (0.7476, 0.2499, 0.7527)  4 Ag 2.80-2.82, 2 Na 2.83
Cl (0.7494, 0.7494, 0.7518)  3 Ag 2.81, 3 Na 2.82
Cl (0.7501, 0.7501, 0.2473)  4 Ag 2.80-2.82, 2 Na 2.83
Cl (0.7501, 0.2524, 0.2473)  4 Ag 2.80-2.82, 2 Na 2.83
Cl (0.2524, 0.7501, 0.2473)  4 Ag 2.80-2.82, 2 Na 2.83
Cl (0.2506, 0.2506, 0.2482)  3 Ag 2.81, 3 Na 2.82



> volume of number 11 (NaLiN)?

19.57 A^3/atom